Entry one
First-principles (PBE) data for crystalline BaCuPCl2 at its relaxed geometry, as listed in Alexandria via LeMat-Bulk.

Values from the calculation:
- Theoretical density: 2.2 g/cm3
- Density of states at the Fermi level: 3.4 states/eV/f.u.

Cell lengths 5.9049, 5.9049, 6.5296 Å; angles 90.00, 90.00, 90.00 degrees
Site moments in Bohr magnetons follow the coordinates.
Element x y z (fractional)
Ba  0.0000  0.0000  0.0000  0.03
P  0.0000  0.0000  0.5000  0.92
Cu  0.5000  0.5000  0.5000  -0.06
Cl  0.0000  0.5000  0.0000  0.02
Cl  0.5000  0.0000  0.0000  0.02

=====

Entry two
First-principles (PBE) data for crystalline BaCuPCl2 at its relaxed geometry, as listed in Alexandria via LeMat-Bulk.

Values from the calculation:
- Theoretical density: 4.2 g/cm3
- Density of states at the Fermi level: 2.6 states/eV/f.u.

Cell lengths 5.0848, 5.0848, 4.6327 Å; angles 90.00, 90.00, 90.00 degrees
Site moments in Bohr magnetons follow the coordinates.
Element x y z (fractional)
Ba  0.5000  0.5000  0.5000  0.03
P  0.0000  0.0000  0.5000  0.45
Cl  0.0000  0.5000  0.0000  0.07
Cl  0.5000  0.0000  0.0000  0.07
Cu  0.0000  0.0000  0.0000  0.14

=====

Of them, entry one has the lowest stability.

=====

Entry one
First-principles (PBE) data for crystalline Ba2CuS2Cl2 at its relaxed geometry, as listed in Alexandria via LeMat-Bulk.

Values from the calculation:
- Theoretical density: 4.3 g/cm3
- Density of states at the Fermi level: 2.8 states/eV/f.u.

Cell lengths 8.4746, 8.4746, 8.4746 Å; angles 146.69, 146.69, 47.82 degrees
Element x y z (fractional)
Ba  0.6459  0.6459  0.0000
Ba  0.3541  0.3541  0.0000
S  0.1561  0.1561  0.0000
S  0.8439  0.8439  0.0000
Cl  0.0000  0.5000  0.5000
Cl  0.5000  0.0000  0.5000
Cu  0.0000  0.0000  0.0000

=====

Entry two
First-principles (PBE) data for crystalline Ba2CuS2Cl2 at its relaxed geometry, as listed in Alexandria via LeMat-Bulk.

Values from the calculation:
- Theoretical density: 4.2 g/cm3
- Density of states at the Fermi level: 1.4 states/eV/f.u.

Cell lengths 9.2295, 9.2295, 9.2295 Å; angles 150.80, 150.80, 41.77 degrees
Element x y z (fractional)
Cl  0.8138  0.8138  0.0000
Cl  0.1862  0.1862  0.0000
Ba  0.3731  0.3731  0.0000
Ba  0.6269  0.6269  0.0000
S  0.0000  0.5000  0.5000
S  0.5000  0.0000  0.5000
Cu  0.0000  0.0000  0.0000

=====

Of them, entry one has the lowest stability.

=====

Entry one
First-principles (PBE) data for crystalline BaCuSCl2 at its relaxed geometry, as listed in Alexandria via LeMat-Bulk.

Values from the calculation:
- Theoretical density: 2.3 g/cm3
- Density of states at the Fermi level: 6.1 states/eV/f.u.

Cell lengths 5.9134, 5.9134, 6.2333 Å; angles 90.00, 90.00, 90.00 degrees
Site moments in Bohr magnetons follow the coordinates.
Element x y z (fractional)
Cu  0.5000  0.5000  0.5000  -0.02
Cl  0.5000  0.0000  0.0000  0.02
Cl  0.0000  0.5000  0.0000  0.02
S  0.0000  0.0000  0.5000  0.63
Ba  0.0000  0.0000  0.0000  0.00

=====

Entry two
First-principles (PBE) data for crystalline BaCuSCl2 at its relaxed geometry, as listed in Alexandria via LeMat-Bulk.

Values from the calculation:
- Theoretical density: 4.4 g/cm3
- Density of states at the Fermi level: 4.3 states/eV/f.u.

Cell lengths 4.8690, 4.8690, 4.8238 Å; angles 90.00, 90.00, 90.00 degrees
Element x y z (fractional)
Cl  0.0000  0.5000  0.0000
Cl  0.5000  0.0000  0.0000
Ba  0.5000  0.5000  0.5000
Cu  0.0000  0.0000  0.0000
S  0.0000  0.0000  0.5000

=====

Of them, entry one has the lowest stability.